Here is crystalline Ta2PtI at its relaxed geometry from the Alexandria database. Energies are from GGA-PBE.

calculated density: 15.3 Mg/m³
crystal system: cubic
uncorrected energy: -29.814 eV per formula unit
E_form (uncorrected): 0.370 eV per atom
distance to the lowest polymorph of the same formula: 0.0 kJ/mol of atoms
calculated volume: 18.50 A^3/atom

Geometry as CIF:
```
data_Ta2PtI
_chemical_formula_sum 'Ta8 Pt4 I4'
_cell_length_a 6.665
_cell_length_b 6.665
_cell_length_c 6.665
_cell_angle_alpha 90.00
_cell_angle_beta 90.00
_cell_angle_gamma 90.00
_space_group_name_H-M_alt 'F m -3 m'
_space_group_IT_number 225
_space_group_name_Hall '-F 4 2 3'
loop_
_atom_site_label
_atom_site_type_symbol
_atom_site_fract_x
_atom_site_fract_y
_atom_site_fract_z
Ta1 Ta 0.250 0.250 0.250
Pt1 Pt 0.000 0.000 0.000
I1 I 0.000 0.000 0.500
```

=====

Here is crystalline TaPtI at its relaxed geometry from the Alexandria database. Energies are from GGA-PBE.

calculated density: 9.7 Mg/m³
crystal system: monoclinic
uncorrected energy: -20.313 eV per formula unit
E_form (uncorrected): -0.290 eV per atom
distance to the lowest polymorph of the same formula: 0.0 kJ/mol of atoms
calculated volume: 28.58 A^3/atom

Geometry as CIF:
```
data_TaPtI
_chemical_formula_sum 'Ta2 Pt2 I2'
_cell_length_a 3.692
_cell_length_b 4.501
_cell_length_c 10.383
_cell_angle_alpha 90.00
_cell_angle_beta 96.35
_cell_angle_gamma 90.00
_space_group_name_H-M_alt 'P 1 21/m 1'
_space_group_IT_number 11
_space_group_name_Hall '-P 2yb'
loop_
_atom_site_label
_atom_site_type_symbol
_atom_site_fract_x
_atom_site_fract_y
_atom_site_fract_z
Ta1 Ta 0.075 0.250 0.120
Pt1 Pt 0.393 0.750 0.070
I1 I 0.311 0.750 0.665
```

=====

Here is crystalline TaPt2I at its relaxed geometry from the Alexandria database. Energies are from GGA-PBE.

calculated density: 15.2 Mg/m³
crystal system: cubic
uncorrected energy: -23.634 eV per formula unit
E_form (uncorrected): 0.463 eV per atom
distance to the lowest polymorph of the same formula: 24.0 kJ/mol of atoms
calculated volume: 19.09 A^3/atom

Geometry as CIF:
```
data_TaPt2I
_chemical_formula_sum 'Ta4 Pt8 I4'
_cell_length_a 6.734
_cell_length_b 6.734
_cell_length_c 6.734
_cell_angle_alpha 90.00
_cell_angle_beta 90.00
_cell_angle_gamma 90.00
_space_group_name_H-M_alt 'F m -3 m'
_space_group_IT_number 225
_space_group_name_Hall '-F 4 2 3'
loop_
_atom_site_label
_atom_site_type_symbol
_atom_site_fract_x
_atom_site_fract_y
_atom_site_fract_z
Ta1 Ta 0.000 0.000 0.000
Pt1 Pt 0.250 0.250 0.250
I1 I 0.000 0.000 0.500
```

=====

Here is crystalline TaPtI at its relaxed geometry from the Alexandria database. Energies are from GGA-PBE.

calculated density: 13.2 Mg/m³
crystal system: orthorhombic
uncorrected energy: -18.489 eV per formula unit
E_form (uncorrected): 0.318 eV per atom
distance to the lowest polymorph of the same formula: 58.7 kJ/mol of atoms
calculated volume: 21.14 A^3/atom

Geometry as CIF:
```
data_TaPtI
_chemical_formula_sum 'Ta4 Pt4 I4'
_cell_length_a 12.989
_cell_length_b 3.357
_cell_length_c 5.816
_cell_angle_alpha 90.00
_cell_angle_beta 90.00
_cell_angle_gamma 90.00
_space_group_name_H-M_alt 'A m m 2'
_space_group_IT_number 38
_space_group_name_Hall 'A 2 -2'
loop_
_atom_site_label
_atom_site_type_symbol
_atom_site_fract_x
_atom_site_fract_y
_atom_site_fract_z
Ta1 Ta 0.147 0.000 0.000
Pt1 Pt 0.000 0.000 0.333
Pt2 Pt 0.500 0.000 0.668
I1 I 0.307 0.000 0.333
```

=====

Here is crystalline Ta4Te16PtI8 at its relaxed geometry from the Alexandria database. Energies are from GGA-PBE.

calculated density: 5.8 Mg/m³
crystal system: triclinic
uncorrected energy: -122.770 eV per formula unit
E_form (uncorrected): -0.229 eV per atom
calculated volume: 39.22 A^3/atom

Geometry as CIF:
```
data_Ta4Te16PtI8
_chemical_formula_sum 'Ta4 Te16 Pt1 I8'
_cell_length_a 6.745
_cell_length_b 11.094
_cell_length_c 16.249
_cell_angle_alpha 106.36
_cell_angle_beta 92.90
_cell_angle_gamma 101.17
_space_group_name_H-M_alt 'P -1'
_space_group_IT_number 2
_space_group_name_Hall '-P 1'
loop_
_atom_site_label
_atom_site_type_symbol
_atom_site_fract_x
_atom_site_fract_y
_atom_site_fract_z
Ta1 Ta 0.025 0.198 0.302
Ta2 Ta 0.474 0.804 0.700
Te1 Te 0.167 0.596 0.592
Te2 Te 0.190 0.659 0.781
Te3 Te 0.196 0.975 0.258
Te4 Te 0.234 0.138 0.153
Te5 Te 0.261 0.949 0.619
Te6 Te 0.298 0.977 0.827
Te7 Te 0.314 0.251 0.453
Te8 Te 0.344 0.422 0.329
Pt1 Pt 0.500 0.500 0.500
I1 I 0.198 0.828 0.436
I2 I 0.254 0.803 0.974
I3 I 0.332 0.451 0.144
I4 I 0.394 0.230 0.805
```

=====

Here is crystalline TaTlPtI2 at its relaxed geometry from the Alexandria database. Energies are from GGA-PBE.

calculated density: 8.5 Mg/m³
crystal system: tetragonal
uncorrected energy: -18.293 eV per formula unit
E_form (uncorrected): 1.013 eV per atom
calculated volume: 32.68 A^3/atom

Geometry as CIF:
```
data_TaTlPtI2
_chemical_formula_sum 'Ta1 Tl1 Pt1 I2'
_cell_length_a 5.320
_cell_length_b 5.320
_cell_length_c 5.774
_cell_angle_alpha 90.00
_cell_angle_beta 90.00
_cell_angle_gamma 90.00
_space_group_name_H-M_alt 'P 4/m m m'
_space_group_IT_number 123
_space_group_name_Hall '-P 4 2'
loop_
_atom_site_label
_atom_site_type_symbol
_atom_site_fract_x
_atom_site_fract_y
_atom_site_fract_z
Ta1 Ta 0.000 0.000 0.000
Tl1 Tl 0.000 0.000 0.500
Pt1 Pt 0.500 0.500 0.500
I1 I 0.000 0.500 0.000
```